This record from Alexandria via LeMat-Bulk describes crystalline K2InHg4 at its relaxed geometry. The functional is GGA-PBE.

Summary:
Total energy: -0.996 eV/atom
Space group: No. 65
Spin magnetization: 0.00 μB per atom
Formation energy: -0.118 eV/atom
Distance to the lowest polymorph of the same formula: 0 meV/atom

a b c (Å): 5.3320 6.4822 8.3772
angles (deg): 112.76 90.00 90.00
Sites, in units of the cell vectors:
Hg  0.5000  0.5997  0.1994
Hg  0.5000  0.4003  0.8006
Hg  0.0000  0.7047  0.4094
Hg  0.0000  0.2953  0.5906
K  0.5000  0.8509  0.7017
K  0.5000  0.1491  0.2983
In  0.0000  0.5000  0.0000